# RbMn2PbO8

A geometry-optimized RbMn2PbO8 structure (PBE with a Hubbard U, Alexandria).

Lattice parameters (Å, degrees): 5.4661 5.4661 8.6964 90.00 90.00 120.00
Space group P-3 (No. 147)
Asymmetric unit:
Rb 0.0000 0.0000 0.0000 x1
Mn 0.3333 0.6667 0.7485 x2
Pb 0.0000 0.0000 0.5000 x1
O 0.0622 0.3695 0.6850 x6
O 0.3333 0.6667 0.9352 x2

electronic total energy = -5.84 eV per atom
theoretical density = 3.92 g/cm3
density of states at the Fermi level = 0.5485 states/eV/atom